# YNiF2 (PBE+U, optimized geometry)
# excess energy over the best structure of this formula in the dataset: 138 meV/atom
# density: 5.14 Mg/m³
# DFT total energy: -19.21 eV per formula unit
data_YNiF2
_symmetry_space_group_name_H-M 'P 1'
_symmetry_Int_Tables_number 1
_symmetry_space_group_name_Hall 'P 1'
_cell_length_a 4.032
_cell_length_b 4.032
_cell_length_c 7.913
_cell_angle_alpha 75.24
_cell_angle_beta 75.24
_cell_angle_gamma 90.00
loop_
_atom_site_label
_atom_site_type_symbol
_atom_site_fract_x
_atom_site_fract_y
_atom_site_fract_z
Y1 Y 0.000 0.000 0.000
Y2 Y 0.750 0.250 0.500
Ni1 Ni 0.500 0.500 0.000
Ni2 Ni 0.250 0.750 0.500
F1 F 0.654 0.125 0.250
F2 F 0.096 0.625 0.250
F3 F 0.375 0.346 0.750
F4 F 0.875 0.904 0.750